DFT (GGA-PBE) results for an optimized crystal structure of NaNp2TlCl8.

Space group: P-1
E_form (uncorrected) (eV per atom): -1.602
Energy (eV per atom): -5.30

Geometry as POSCAR:
```
NaNp2TlCl8
1.0
6.718 0.000 0.000
-0.452 6.960 0.000
-0.126 -0.110 8.593
Na Np Tl Cl
1 2 1 8
direct
0.000 0.000 0.000
0.500 0.500 0.245
0.500 0.500 0.755
0.000 0.000 0.500
0.244 0.189 0.778
0.247 0.186 0.231
0.291 0.653 0.999
0.296 0.639 0.499
0.704 0.361 0.501
0.709 0.347 0.001
0.753 0.814 0.769
0.756 0.811 0.222
```

***

DFT (GGA-PBE) results for an optimized crystal structure of Na2NpTlCl8.

Space group: P2/m
E_form (uncorrected) (eV per atom): -1.460
Energy (eV per atom): -4.19

Geometry as POSCAR:
```
Na2NpTlCl8
1.0
6.425 0.000 0.000
0.000 9.044 0.000
-0.430 0.000 6.503
Na Np Tl Cl
2 1 1 8
direct
0.000 0.246 0.000
0.000 0.754 0.000
0.500 0.500 0.500
0.500 0.000 0.500
0.184 0.000 0.179
0.218 0.500 0.197
0.301 0.295 0.678
0.301 0.705 0.678
0.699 0.295 0.322
0.699 0.705 0.322
0.782 0.500 0.803
0.816 0.000 0.821
```

***

DFT (GGA-PBE) results for an optimized crystal structure of NaNpTlCl6.

Space group: P-31c
E_form (uncorrected) (eV per atom): -1.580
Energy (eV per atom): -4.66

Geometry as POSCAR:
```
NaNpTlCl6
1.0
7.185 0.000 0.000
-3.592 6.222 0.000
0.000 0.000 13.688
Na Np Tl Cl
2 2 2 12
direct
0.333 0.667 0.250
0.667 0.333 0.750
0.333 0.667 0.750
0.667 0.333 0.250
0.000 0.000 0.000
0.000 0.000 0.500
0.024 0.378 0.640
0.024 0.646 0.860
0.354 0.378 0.860
0.354 0.976 0.640
0.378 0.024 0.140
0.378 0.354 0.360
0.622 0.646 0.640
0.622 0.976 0.860
0.646 0.024 0.360
0.646 0.622 0.140
0.976 0.354 0.140
0.976 0.622 0.360
```

***

DFT (GGA-PBE) results for an optimized crystal structure of Na2NpTlCl6.

Space group: R3
E_form (uncorrected) (eV per atom): -1.614
Energy (eV per atom): -4.52

Geometry as POSCAR:
```
Na2NpTlCl6
1.0
3.641 2.102 6.657
-3.641 2.102 6.657
0.000 -4.205 6.657
Na Np Tl Cl
2 1 1 6
direct
0.000 0.000 0.000
0.488 0.488 0.488
0.685 0.685 0.685
0.202 0.202 0.202
0.076 0.419 0.763
0.286 0.846 0.648
0.419 0.763 0.076
0.648 0.286 0.846
0.763 0.076 0.419
0.846 0.648 0.286
```

***

DFT (GGA-PBE) results for an optimized crystal structure of NaNpTl2Cl8.

Space group: P-1
E_form (uncorrected) (eV per atom): -1.354
Energy (eV per atom): -4.17

Geometry as POSCAR:
```
NaNpTl2Cl8
1.0
6.934 0.000 0.000
0.592 6.917 0.000
0.017 0.005 9.070
Na Np Tl Cl
1 1 2 8
direct
0.000 0.000 0.000
0.000 0.000 0.500
0.499 0.501 0.232
0.501 0.499 0.768
0.192 0.675 0.501
0.216 0.117 0.702
0.218 0.115 0.298
0.260 0.691 0.999
0.740 0.309 0.001
0.782 0.885 0.702
0.784 0.883 0.298
0.808 0.325 0.499
```

***

DFT (GGA-PBE) results for an optimized crystal structure of NaNpTlCl5.

Space group: C2/c
E_form (uncorrected) (eV per atom): -1.552
Energy (eV per atom): -4.78

Geometry as POSCAR:
```
NaNpTlCl5
1.0
4.472 -6.499 0.000
4.472 6.499 0.000
-3.766 0.000 9.453
Na Np Tl Cl
2 2 2 10
direct
0.184 0.816 0.750
0.816 0.184 0.250
0.500 0.500 0.000
0.500 0.500 0.500
0.145 0.855 0.250
0.855 0.145 0.750
0.135 0.238 0.445
0.194 0.570 0.892
0.238 0.135 0.945
0.415 0.585 0.250
0.430 0.806 0.608
0.570 0.194 0.392
0.585 0.415 0.750
0.762 0.865 0.055
0.806 0.430 0.108
0.865 0.762 0.555
```

***

DFT (GGA-PBE) results for an optimized crystal structure of NaNpVCl6.

Space group: P-31c
E_form (uncorrected) (eV per atom): -1.541
Energy (eV per atom): -5.37

Geometry as POSCAR:
```
NaNpVCl6
1.0
6.624 0.000 0.000
-3.312 5.737 0.000
0.000 0.000 12.747
Na Np V Cl
2 2 2 12
direct
0.000 0.000 0.000
0.000 0.000 0.500
0.333 0.667 0.250
0.667 0.333 0.750
0.333 0.667 0.750
0.667 0.333 0.250
0.030 0.367 0.633
0.030 0.663 0.867
0.337 0.367 0.867
0.337 0.970 0.633
0.367 0.030 0.133
0.367 0.337 0.367
0.633 0.663 0.633
0.633 0.970 0.867
0.663 0.030 0.367
0.663 0.633 0.133
0.970 0.337 0.133
0.970 0.633 0.367
```

***

DFT (GGA-PBE) results for an optimized crystal structure of Na6ClO3.

Space group: Cmc2_1
E_form (uncorrected) (eV per atom): -1.200
Energy (eV per atom): -3.66

Geometry as POSCAR:
```
Na6ClO3
1.0
4.453 -5.933 0.000
4.453 5.933 0.000
0.000 0.000 6.252
Na Cl O
12 2 6
direct
0.014 0.986 0.500
0.095 0.518 0.495
0.224 0.776 0.809
0.316 0.362 0.936
0.362 0.316 0.436
0.482 0.905 0.495
0.518 0.095 0.995
0.638 0.684 0.936
0.684 0.638 0.436
0.776 0.224 0.309
0.905 0.482 0.995
0.986 0.014 0.000
0.190 0.810 0.217
0.810 0.190 0.717
0.082 0.294 0.217
0.294 0.082 0.717
0.399 0.601 0.665
0.601 0.399 0.165
0.706 0.918 0.217
0.918 0.706 0.717
```

***

DFT (GGA-PBE) results for an optimized crystal structure of Na5Cl4O.

Space group: I4
E_form (uncorrected) (eV per atom): -1.541
Energy (eV per atom): -3.43

Geometry as POSCAR:
```
Na5Cl4O
1.0
-4.363 4.363 2.834
4.363 -4.363 2.834
4.363 4.363 -2.834
Na Cl O
5 4 1
direct
0.000 0.000 0.000
0.261 0.626 0.813
0.448 0.261 0.635
0.626 0.813 0.365
0.813 0.448 0.187
0.134 0.334 0.391
0.334 0.943 0.200
0.743 0.134 0.800
0.943 0.743 0.609
0.554 0.554 0.000
```

***

DFT (GGA-PBE) results for an optimized crystal structure of Na7Cl3O2.

Space group: I4/mmm
E_form (uncorrected) (eV per atom): -1.502
Energy (eV per atom): -3.56

Geometry as POSCAR:
```
Na7Cl3O2
1.0
-2.253 2.253 11.706
2.253 -2.253 11.706
2.253 2.253 -11.706
Na Cl O
7 3 2
direct
0.000 0.000 0.000
0.097 0.597 0.500
0.194 0.194 0.000
0.403 0.903 0.500
0.597 0.097 0.500
0.806 0.806 0.000
0.903 0.403 0.500
0.311 0.311 0.000
0.500 0.500 0.000
0.689 0.689 0.000
0.098 0.098 0.000
0.902 0.902 0.000
```

***

DFT (GGA-PBE) results for an optimized crystal structure of Na3ClO.

Space group: Amm2
E_form (uncorrected) (eV per atom): -1.298
Energy (eV per atom): -3.45

Geometry as POSCAR:
```
Na3ClO
1.0
3.626 0.000 0.000
0.000 3.798 5.717
0.000 -3.798 5.717
Na Cl O
3 1 1
direct
0.000 0.000 0.000
0.500 0.051 0.406
0.500 0.406 0.051
0.500 0.831 0.831
0.000 0.191 0.191
```

***

DFT (GGA-PBE) results for an optimized crystal structure of Na10Cl4O3.

Space group: I4/mmm
E_form (uncorrected) (eV per atom): -1.486
Energy (eV per atom): -3.57

Geometry as POSCAR:
```
Na10Cl4O3
1.0
-2.258 2.258 16.237
2.258 -2.258 16.237
2.258 2.258 -16.237
Na Cl O
10 4 3
direct
0.000 0.500 0.500
0.070 0.070 0.000
0.140 0.640 0.500
0.210 0.210 0.000
0.360 0.860 0.500
0.500 0.000 0.500
0.640 0.140 0.500
0.790 0.790 0.000
0.860 0.360 0.500
0.930 0.930 0.000
0.294 0.294 0.000
0.430 0.430 0.000
0.570 0.570 0.000
0.706 0.706 0.000
0.000 0.000 0.000
0.140 0.140 0.000
0.860 0.860 0.000
```